[1]
# RbSe2Cl4

A geometry-optimized RbSe2Cl4 structure (PBE-GGA, Alexandria via LeMat-Bulk).

The structure in POSCAR format:
```
RbSe2Cl4
1.0
10.134 -0.071 3.118
-3.746 6.967 1.666
0.850 -1.600 7.876
Se Rb Cl
4 2 8
Direct
0.773 0.397 0.460
0.227 0.767 0.376
0.774 0.375 0.765
0.226 0.461 0.399
0.000 0.000 0.000
0.500 0.749 0.750
0.747 0.646 0.864
0.796 0.094 0.774
0.254 0.866 0.646
0.746 0.099 0.388
0.254 0.389 0.101
0.202 0.430 0.703
0.204 0.775 0.095
0.796 0.701 0.429
```

Results
ΔE_f (raw) in meV/atom: -662
Space-group type: P1, No. 1



[2]
# Pa2TiSi4Pt3

A geometry-optimized Pa2TiSi4Pt3 structure (PBE-GGA, Alexandria via LeMat-Bulk).

The structure in POSCAR format:
```
Pa2TiSi4Pt3
1.0
-2.367 -1.838 -2.897
2.064 -3.574 0.582
-6.672 -2.689 7.158
Pt Si Pa Ti
3 4 2 1
Direct
0.000 0.500 0.119
0.500 0.000 0.881
0.000 0.000 0.500
0.500 0.500 0.000
0.000 0.500 0.356
0.000 0.000 0.000
0.500 0.000 0.644
0.000 0.500 0.751
0.500 0.000 0.249
0.500 0.500 0.500
```

Results
ΔE_f (raw) in meV/atom: -891
Space-group type: P-4m2, No. 115



[3]
# CoPb2Cl

A geometry-optimized CoPb2Cl structure (PBE-GGA, Alexandria via LeMat-Bulk).

The structure in POSCAR format:
```
CoPb2Cl
1.0
3.740 0.000 0.000
0.000 3.745 0.000
0.000 0.000 7.750
Pb Co Cl
2 1 1
Direct
0.000 0.000 0.889
0.500 0.500 0.253
0.500 0.500 0.924
0.000 0.000 0.434
```

Results
Energy relative to the lowest polymorph listed for this composition in meV per atom: 90
ΔE_f (raw) in meV/atom: 72
Space-group type: P4mm, No. 99



[4]
# ZrTiC2N

A geometry-optimized ZrTiC2N structure (PBE-GGA, Alexandria via LeMat-Bulk).

The structure in POSCAR format:
```
ZrTiC2N
1.0
3.977 0.000 0.000
0.000 5.888 0.000
0.000 0.000 3.977
N C Ti Zr
1 2 1 1
Direct
0.500 0.500 0.500
0.000 0.000 0.500
0.500 0.000 0.000
0.000 0.500 0.000
0.000 0.000 0.000
```

Results
ΔE_f (raw) in meV/atom: 2568
Space-group type: P4/mmm, No. 123



[5]
# U2TiS4

A geometry-optimized U2TiS4 structure (PBE-GGA, Alexandria via LeMat-Bulk).

The structure in POSCAR format:
```
U2TiS4
1.0
-3.188 1.781 4.313
2.104 -5.038 1.458
6.994 3.945 3.541
U Ti S
4 2 8
Direct
0.769 0.231 0.000
0.231 0.769 0.000
0.231 0.769 0.500
0.769 0.231 0.500
0.500 0.500 0.250
0.500 0.500 0.750
0.281 0.281 0.500
0.719 0.719 0.500
0.000 0.500 0.250
0.500 0.000 0.250
0.281 0.281 0.000
0.719 0.719 0.000
0.500 0.000 0.750
0.000 0.500 0.750
```

Results
ΔE_f (raw) in meV/atom: -1191
Space-group type: Cmmm, No. 65



[6]
# TaSeSBr2

A geometry-optimized TaSeSBr2 structure (PBE-GGA, Alexandria via LeMat-Bulk).

The structure in POSCAR format:
```
TaSeSBr2
1.0
5.036 0.000 0.000
0.000 5.036 0.000
0.000 0.000 4.880
S Br Ta Se
1 2 1 1
Direct
0.000 0.000 0.000
0.000 0.500 0.000
0.500 0.000 0.000
0.500 0.500 0.500
0.000 0.000 0.500
```

Results
Energy relative to the lowest polymorph listed for this composition in meV per atom: 942
ΔE_f (raw) in meV/atom: 1148
Space-group type: P4/mmm, No. 123



[7]
# Sc5NbOs6

A geometry-optimized Sc5NbOs6 structure (PBE-GGA, Alexandria via LeMat-Bulk).

The structure in POSCAR format:
```
Sc5NbOs6
1.0
-0.781 -0.712 -4.410
6.345 0.014 -1.127
-2.580 -6.365 3.817
Nb Sc Os
1 5 6
Direct
0.000 0.000 0.000
0.330 0.830 0.661
0.670 0.170 0.339
0.334 0.334 0.668
0.666 0.666 0.332
0.000 0.500 0.000
0.163 0.408 0.326
0.837 0.592 0.674
0.500 0.759 0.000
0.500 0.241 0.000
0.837 0.082 0.674
0.163 0.918 0.326
```

Results
Space-group type: Immm, No. 71



[8]
# Cs2PmAlSe4

A geometry-optimized Cs2PmAlSe4 structure (PBE-GGA, Alexandria via LeMat-Bulk).

The structure in POSCAR format:
```
Cs2PmAlSe4
1.0
-4.985 -3.479 -6.555
-5.086 -4.117 6.092
1.460 9.005 0.466
Se Cs Pm Al
8 4 2 2
Direct
0.750 0.315 0.533
0.766 0.737 0.941
0.234 0.263 0.059
0.185 0.750 0.967
0.237 0.266 0.441
0.250 0.685 0.467
0.763 0.734 0.559
0.815 0.250 0.033
0.500 0.000 0.000
0.500 0.000 0.500
0.000 0.000 0.500
0.500 0.500 0.000
0.000 0.500 0.500
0.000 0.500 0.000
0.000 0.000 0.000
0.500 0.500 0.500
```

Results
ΔE_f (raw) in meV/atom: -1142
Space-group type: C2/c, No. 15



[9]
# CsBaLi2Cl5

A geometry-optimized CsBaLi2Cl5 structure (PBE-GGA, Alexandria via LeMat-Bulk).

The structure in POSCAR format:
```
CsBaLi2Cl5
1.0
5.061 0.000 0.000
0.000 5.061 0.000
0.000 0.000 9.849
Cs Li Cl Ba
1 2 5 1
Direct
0.000 0.000 0.500
0.500 0.500 0.739
0.500 0.500 0.261
0.000 0.500 0.196
0.000 0.500 0.804
0.500 0.500 0.500
0.500 0.000 0.196
0.500 0.000 0.804
0.000 0.000 0.000
```

Results
ΔE_f (raw) in meV/atom: -2093
Space-group type: P4/mmm, No. 123



[10]
# MgRhCl2

A geometry-optimized MgRhCl2 structure (PBE-GGA, Alexandria via LeMat-Bulk).

The structure in POSCAR format:
```
MgRhCl2
1.0
-1.900 2.773 -1.961
-3.930 -1.624 1.511
0.212 2.704 3.619
Cl Rh Mg
2 1 1
Direct
0.000 0.991 0.990
0.000 0.509 0.510
0.500 0.750 0.750
0.500 0.250 0.250
```

Results
Energy relative to the lowest polymorph listed for this composition in meV per atom: 263
ΔE_f (raw) in meV/atom: -396
Space-group type: Cmmm, No. 65



[11]
# CrFeAu2

A geometry-optimized CrFeAu2 structure (PBE-GGA, Alexandria via LeMat-Bulk).

The structure in POSCAR format:
```
CrFeAu2
1.0
-4.008 -7.984 -1.094
-1.755 -8.339 -2.896
-1.446 -8.883 -0.058
Au Fe Cr
2 1 1
Direct
0.499 0.499 0.499
0.001 0.001 0.001
0.750 0.750 0.750
0.250 0.250 0.250
```

Results
Space-group type: R-3m, No. 166



[12]
# TlPtI2O

A geometry-optimized TlPtI2O structure (PBE-GGA, Alexandria via LeMat-Bulk).

The structure in POSCAR format:
```
TlPtI2O
1.0
-4.951 0.700 3.219
-3.291 -0.798 -4.889
-0.093 -3.797 0.682
Pt Tl I O
1 1 2 1
Direct
0.000 0.000 0.000
0.500 0.500 0.500
0.500 0.000 0.000
0.000 0.500 0.000
0.000 0.000 0.500
```

Results
Energy relative to the lowest polymorph listed for this composition in meV per atom: 0
ΔE_f (raw) in meV/atom: -236
Space-group type: P4/mmm, No. 123



no.,total energy (eV for the cell shown),volume (A^3/atom),spin magnetization (Bohr magnetons per cell)
1,-39.9,41.5,2.05
2,-75.6,17.6,1.39
3,-16.1,27.1,0.00
4,-30.4,18.6,0.62
5,-110.6,19.1,7.29
6,-17.1,24.8,2.76
7,-113.7,16.6,0.00
8,-66.5,31.5,0.00
9,-34.7,28.0,0.00
10,-14.2,19.9,0.85
11,-23.1,16.2,6.63
12,-17.6,27.3,0.33